Density functional theory data (PBE) for a geometry-optimized PmPuSn structure.

Cell: 3.3718 6.0897 8.3751 Å, 90.00 90.00 90.00°
Positions (direct):
Sn 0.5000 0.7500 0.7097
Sn 0.5000 0.2500 0.2903
Pu 0.0000 0.2500 0.6204
Pu 0.0000 0.7500 0.3796
Pm 0.0000 0.0000 0.0000
Pm 0.0000 0.5000 0.0000

Total magnetization = 12.267 Bohr magnetons per cell
Energy of formation from the pure elements = -0.208 eV/atom
SG = Pmma (51)
Offset from the most stable computed form = 25.3 kJ/mol of atoms